(1)
Below is crystalline ZrSc2IrCl at its relaxed geometry, with properties calculated at the PBE level.

Calculated values
- Formation energy from raw total energies: 0.37 eV per atom
- SG: No. 123

CIF file:
```
data_ZrSc2IrCl
_chemical_formula_sum 'Zr1 Sc2 Ir1 Cl1'
_space_group_name_H-M_alt 'P 1'
_space_group_IT_number 1
_space_group_name_Hall 'P 1'
_cell_length_a 5.004
_cell_length_b 5.048
_cell_length_c 5.004
_cell_angle_alpha 90.00
_cell_angle_beta 90.00
_cell_angle_gamma 90.00
loop_
_atom_site_label
_atom_site_fract_x
_atom_site_fract_y
_atom_site_fract_z
Cl1 0.000 0.500 0.000
Sc1 0.000 0.000 0.500
Sc2 0.500 0.000 0.000
Ir1 0.000 0.000 0.000
Zr1 0.500 0.500 0.500
```


(2)
Below is crystalline Pu2CdSn at its relaxed geometry, with properties calculated at the PBE level.

Calculated values
- VASP energy: -8.61 eV per atom
- SG: No. 123

CIF file:
```
data_Pu2CdSn
_chemical_formula_sum 'Pu2 Cd1 Sn1'
_space_group_name_H-M_alt 'P 1'
_space_group_IT_number 1
_space_group_name_Hall 'P 1'
_cell_length_a 4.848
_cell_length_b 4.564
_cell_length_c 4.564
_cell_angle_alpha 90.00
_cell_angle_beta 90.00
_cell_angle_gamma 90.00
loop_
_atom_site_label
_atom_site_fract_x
_atom_site_fract_y
_atom_site_fract_z
Pu1 0.000 0.500 0.000
Pu2 0.000 0.000 0.500
Cd1 0.500 0.000 0.000
Sn1 0.500 0.500 0.500
```


(3)
Below is crystalline SnRh2BrO at its relaxed geometry, with properties calculated at the PBE level.

Calculated values
- Formation energy from raw total energies: 1.40 eV per atom
- SG: No. 123

CIF file:
```
data_SnRh2BrO
_chemical_formula_sum 'Sn1 Rh2 Br1 O1'
_space_group_name_H-M_alt 'P 1'
_space_group_IT_number 1
_space_group_name_Hall 'P 1'
_cell_length_a 5.046
_cell_length_b 5.556
_cell_length_c 5.046
_cell_angle_alpha 90.00
_cell_angle_beta 90.00
_cell_angle_gamma 90.00
loop_
_atom_site_label
_atom_site_fract_x
_atom_site_fract_y
_atom_site_fract_z
Sn1 0.000 0.000 0.000
Rh1 0.500 0.000 0.000
Rh2 0.000 0.000 0.500
O1 0.500 0.500 0.500
Br1 0.000 0.500 0.000
```


(4)
Below is crystalline NaAlI2O at its relaxed geometry, with properties calculated at the PBE level.

Calculated values
- Formation energy from raw total energies: -1.22 eV per atom
- Energy above the most stable polymorph in this dataset: 0 meV per atom
- SG: No. 123

CIF file:
```
data_NaAlI2O
_chemical_formula_sum 'Na1 Al1 I2 O1'
_space_group_name_H-M_alt 'P 1'
_space_group_IT_number 1
_space_group_name_Hall 'P 1'
_cell_length_a 5.859
_cell_length_b 5.859
_cell_length_c 3.567
_cell_angle_alpha 90.00
_cell_angle_beta 90.00
_cell_angle_gamma 90.00
loop_
_atom_site_label
_atom_site_fract_x
_atom_site_fract_y
_atom_site_fract_z
Al1 0.000 0.000 0.000
Na1 0.500 0.500 0.500
I1 0.500 0.000 0.000
I2 0.000 0.500 0.000
O1 0.000 0.000 0.500
```


no.,ρ (g/cm³)
1,5.37
2,11.83
3,4.94
4,4.34